Entry 1:
Computed, not measured: a geometry-optimized V3CoHg structure at the PBE level of DFT.

a = 4.3539 Å, b = 4.3539 Å, c = 4.3539 Å
α = 90.00°, β = 90.00°, γ = 90.00°
Closest atoms and distances in Å follow each position.
Element x y z (fractional)
Hg 0.5000 0.5000 0.5000  12 V 3.08
V 0.0000 0.5000 0.0000  2 Co 2.18
V 0.0000 0.0000 0.5000  2 Co 2.18
V 0.5000 0.0000 0.0000  2 Co 2.18
Co 0.0000 0.0000 0.0000  6 V 2.18

Calculated values
The calculation puts the formation enthalpy at 0 K at 3.37 eV per formula unit. Its spin magnetization is 0.02 μB per formula unit. As for the excess energy over the best structure of this formula in the dataset: 0.0 meV per atom. The theoretical density is 8.3 g/cm³.

***

Entry 2:
Computed, not measured: a geometry-optimized VCo2Hg structure at the PBE level of DFT.

a = 6.5975 Å, b = 6.5975 Å, c = 5.3964 Å
α = 52.32°, β = 52.32°, γ = 90.00°
Closest atoms and distances in Å follow each position.
Element x y z (fractional)
V 0.2500 0.7500 0.5000  4 Co 2.22
V 0.5000 0.5000 0.0000  4 Co 2.22
Co 0.5750 0.1250 0.2500  2 V 2.22
Co 0.8750 0.8250 0.7500  2 V 2.22
Co 0.1750 0.6250 0.2500  2 V 2.22
Co 0.3750 0.4250 0.7500  2 V 2.22
Hg 0.0000 0.0000 0.0000  8 Co 2.66-2.93, 2 V 2.71
Hg 0.7500 0.2500 0.5000  8 Co 2.66-2.93, 2 V 2.71

Calculated values
The calculation puts the formation enthalpy at 0 K at 2.06 eV per formula unit. Its spin magnetization is 0.00 μB per formula unit. The theoretical density is 10.4 g/cm³.